(1)
Material: CuAsP2
Method: DFT, PBE-GGA
State: relaxed

Unit cell a=3.5829 b=3.6258 c=9.9032 alpha=90.00 beta=90.00 gamma=90.00
Space group Immm (No. 71)
Asymmetric unit:
Cu: 0.0000 0.0000 0.0000 [2 per cell]
As: 0.0000 0.0000 0.5000 [2 per cell]
P: 0.0000 0.5000 0.3120 [4 per cell]

Computed properties:
formation enthalpy at 0 K: 0.432 eV/atom
DOS(E_F): 3.17 states/eV/cell
E_tot: -35.68 eV/cell
crystal system: orthorhombic

---

(2)
Material: Y3Ir2Rh7
Method: DFT, PBE-GGA
State: relaxed

Unit cell a=5.2728 b=5.2728 c=26.4046 alpha=90.00 beta=90.00 gamma=120.00
Space group R-3m (No. 166, hexagonal axes)
Asymmetric unit:
Y: 0.0000 0.0000 0.0000 [3 per cell]
Y: 0.0000 0.0000 0.1387 [6 per cell]
Ir: 0.0000 0.0000 0.3329 [6 per cell]
Rh: 0.0000 0.0000 0.5000 [3 per cell]
Rh: 0.0002 0.5001 0.0821 [18 per cell]

Computed properties:
formation enthalpy at 0 K: -0.532 eV/atom
DOS(E_F): 43.41 states/eV/cell
E_tot: -284.86 eV/cell
crystal system: trigonal

---

(3)
Material: Y3HoPt2
Method: DFT, PBE-GGA
State: relaxed

Unit cell a=4.7866 b=8.8346 c=7.1619 alpha=90.00 beta=90.00 gamma=90.00
Space group Pmc2_1 (No. 26)
Asymmetric unit:
Y: 0.0000 0.0830 0.0000 [2 per cell]
Y: 0.0000 0.3325 0.3660 [2 per cell]
Y: 0.5000 0.1690 0.6530 [2 per cell]
Ho: 0.5000 0.4153 0.0188 [2 per cell]
Pt: 0.0000 0.3441 0.7703 [2 per cell]
Pt: 0.5000 0.1576 0.2489 [2 per cell]

Computed properties:
formation enthalpy at 0 K: -0.942 eV/atom
DOS(E_F): 12.77 states/eV/cell
E_tot: -83.41 eV/cell
crystal system: orthorhombic

---

(4)
Material: Ac2NdEr
Method: DFT, PBE-GGA
State: relaxed

Unit cell a=6.4245 b=3.8300 c=6.6255 alpha=90.00 beta=110.07 gamma=90.00
Space group P2/m (No. 10)
Asymmetric unit:
Ac: 0.0000 0.0000 0.0000 [1 per cell]
Ac: 0.0000 0.5000 0.5000 [1 per cell]
Nd: 0.5000 0.0000 0.5000 [1 per cell]
Er: 0.5000 0.5000 0.0000 [1 per cell]

Computed properties:
formation enthalpy at 0 K: 0.042 eV/atom
DOS(E_F): 4.74 states/eV/cell
E_tot: -17.38 eV/cell
crystal system: monoclinic

---

(5)
Material: KZn3Ge
Method: DFT, PBE-GGA
State: relaxed

Unit cell a=6.1259 b=6.1259 c=6.1259 alpha=90.00 beta=90.00 gamma=90.00
Space group Pm-3m (No. 221)
Asymmetric unit:
K: 0.0000 0.0000 0.0000 [1 per cell]
Zn: 0.0000 0.0000 0.5000 [3 per cell]
Ge: 0.5000 0.5000 0.5000 [1 per cell]

Computed properties:
formation enthalpy at 0 K: 1.162 eV/atom
DOS(E_F): 2.73 states/eV/cell
E_tot: -3.72 eV/cell
crystal system: cubic

---

(6)
Material: Pa3MnGa12
Method: DFT, PBE-GGA
State: relaxed

Unit cell a=4.2771 b=4.2771 c=16.4293 alpha=90.00 beta=90.00 gamma=90.00
Space group P4/mmm (No. 123)
Asymmetric unit:
Pa: 0.0000 0.0000 0.0000 [1 per cell]
Pa: 0.0000 0.0000 0.2639 [2 per cell]
Mn: 0.0000 0.0000 0.5000 [1 per cell]
Ga: 0.0000 0.5000 0.1317 [4 per cell]
Ga: 0.0000 0.5000 0.3941 [4 per cell]
Ga: 0.5000 0.5000 0.0000 [1 per cell]
Ga: 0.5000 0.5000 0.2559 [2 per cell]
Ga: 0.5000 0.5000 0.5000 [1 per cell]

Computed properties:
formation enthalpy at 0 K: -0.286 eV/atom
DOS(E_F): 15.36 states/eV/cell
E_tot: -78.56 eV/cell
crystal system: tetragonal